# NaMn2Mo2H3O10 GGA+U optimized geometry
data_NaMn2Mo2H3O10
_cell_length_a 9.647
_cell_length_b 6.668
_cell_length_c 7.806
_cell_angle_alpha 90.00
_cell_angle_beta 116.32
_cell_angle_gamma 90.00
_space_group_name_H-M_alt 'C 1 m 1'
_space_group_IT_number 8
_space_group_name_Hall 'C -2y'
loop_
_atom_site_label
_atom_site_type_symbol
_atom_site_fract_x
_atom_site_fract_y
_atom_site_fract_z
_atom_site_occupancy
Na1 Na 0.000 0.000 0.000 1
Mn1 Mn 0.246 0.246 0.503 1
Mo1 Mo 0.086 0.500 0.796 1
Mo2 Mo 0.413 0.000 0.207 1
H1 H 0.174 0.000 0.720 1
H2 H 0.318 0.500 0.273 1
H3 H 0.477 0.500 0.484 1
O1 O 0.032 0.282 0.237 1
O2 O 0.142 0.000 0.581 1
O3 O 0.174 0.500 0.628 1
O4 O 0.242 0.500 0.028 1
O5 O 0.256 0.000 0.977 1
O6 O 0.329 0.000 0.378 1
O7 O 0.352 0.500 0.414 1
O8 O 0.467 0.218 0.764 1
# Magnetic moment   10.0 μB/f.u.
# D(E_F)   0.000 states/eV/atom
# Polymorph energy (0 for the lowest one)   0.000 eV per atom